Entry 1:
A plane-wave DFT calculation with PBE-GGA was carried out for a relaxed TbDy5Mg6 crystal.

Cell: 5.3729 16.1085 7.5418 Å, 90.00 90.00 90.00°
With the nearest neighbours (Å) after each atom.
Space group Cmmm (No. 65)
Symmetry-distinct sites (fractional):
Tb 0.0000 0.0000 0.0000 x2  8 Mg 3.28-3.29
Dy 0.0000 0.0000 0.5000 x2  8 Mg 3.28
Dy 0.0000 0.3332 0.0000 x4  8 Mg 3.27-3.28
Dy 0.0000 0.3336 0.5000 x4  8 Mg 3.28
Mg 0.0000 0.1670 0.2502 x8  7 Dy 3.27-3.28, 1 Tb 3.29
Mg 0.0000 0.5000 0.2503 x4  6 Dy 3.28, 2 Tb 3.28

- M_tot (μB/cell) = 0.00
- total DFT energy (no corrections) (eV/cell) = -76.4
- Fermi-level density of states (states/eV/cell) = 32.6
- energy relative to the elements (eV/f.u.) = -0.97

Entry 2:
A plane-wave DFT calculation with PBE-GGA was carried out for a relaxed BaInSn2 crystal.

Cell: 5.1511 5.1511 17.8232 Å, 90.00 90.00 120.00°
With the nearest neighbours (Å) after each atom.
Space group R-3m (No. 166, hexagonal axes)
Symmetry-distinct sites (fractional):
Ba 0.0000 0.0000 0.0000 x3  8 Sn 3.67-3.80
In 0.0000 0.0000 0.5000 x3  6 Sn 3.09
Sn 0.0000 0.0000 0.2130 x6  3 In 3.09, 3 Sn 3.40

- M_tot (μB/cell) = 0.00
- total DFT energy (no corrections) (eV/cell) = -42.0
- Fermi-level density of states (states/eV/cell) = 5.7
- energy relative to the elements (eV/f.u.) = -1.33

Entry 3:
A plane-wave DFT calculation with PBE-GGA was carried out for a relaxed Cs3VIr crystal.

Cell: 6.4070 6.4070 6.4070 Å, 90.00 90.00 90.00°
With the nearest neighbours (Å) after each atom.
Space group Pm-3m (No. 221)
Symmetry-distinct sites (fractional):
Cs 0.0000 0.0000 0.5000 x3  2 V 3.20
V 0.0000 0.0000 0.0000 x1  6 Cs 3.20
Ir 0.5000 0.5000 0.5000 x1  12 Cs 4.53

- M_tot (μB/cell) = 6.25
- total DFT energy (no corrections) (eV/cell) = -12.2
- Fermi-level density of states (states/eV/cell) = 6.6
- energy relative to the elements (eV/f.u.) = 8.36

Entry 4:
A plane-wave DFT calculation with PBE-GGA was carried out for a relaxed Cs3NaTh2Se6 crystal.

Cell: 7.7023 13.3422 8.7433 Å, 90.00 106.88 90.00°
With the nearest neighbours (Å) after each atom.
Space group C2/m (No. 12)
Symmetry-distinct sites (fractional):
Cs 0.0000 0.0000 0.0000 x2  6 Se 3.54-3.72
Cs 0.0000 0.3431 0.0000 x4  6 Se 3.58-3.71
Na 0.0000 0.5000 0.5000 x2  6 Se 3.15-3.21
Th 0.0000 0.1675 0.5000 x4  6 Se 2.94-2.95
Se 0.2055 0.0000 0.6863 x4  2 Th 2.94, 1 Na 3.15
Se 0.2438 0.3201 0.6922 x8  2 Th 2.94-2.95, 1 Na 3.21

- M_tot (μB/cell) = 0.00
- total DFT energy (no corrections) (eV/cell) = -116.9
- Fermi-level density of states (states/eV/cell) = 0.0

Entry 5:
A plane-wave DFT calculation with PBE-GGA was carried out for a relaxed Ta2BeW crystal.

Cell: 3.8035 3.8035 8.8257 Å, 90.00 90.00 90.00°
With the nearest neighbours (Å) after each atom.
Space group I-4m2 (No. 119)
Symmetry-distinct sites (fractional):
Ta 0.0000 0.0000 0.0000 x2  4 Be 2.69, 4 Ta 2.91, 4 W 2.91
Ta 0.0000 0.5000 0.2500 x2  4 W 2.69, 4 Ta 2.91, 4 Be 2.91
Be 0.0000 0.0000 0.5000 x2  8 Ta 2.69-2.91, 4 W 2.91
W 0.0000 0.5000 0.7500 x2  8 Ta 2.69-2.91, 4 Be 2.91

- M_tot (μB/cell) = 0.00
- total DFT energy (no corrections) (eV/cell) = -78.9
- Fermi-level density of states (states/eV/cell) = 7.9
- energy relative to the elements (eV/f.u.) = 0.93

Entry 6:
A plane-wave DFT calculation with PBE-GGA was carried out for a relaxed ReWIN2 crystal.

Cell: 3.9503 3.9503 5.8068 Å, 90.00 90.00 90.00°
With the nearest neighbours (Å) after each atom.
Space group P4/mmm (No. 123)
Symmetry-distinct sites (fractional):
Re 0.0000 0.0000 0.0000 x1  4 I 2.79
W 0.5000 0.5000 0.5000 x1  4 N 1.98
I 0.5000 0.5000 0.0000 x1  4 Re 2.79, 2 W 2.90
N 0.0000 0.5000 0.5000 x2  2 W 1.98

- M_tot (μB/cell) = 3.50
- total DFT energy (no corrections) (eV/cell) = -36.1
- Fermi-level density of states (states/eV/cell) = 3.1

- Among the records above, which one has the lowest Fermi-level density of states?
  Cs3NaTh2Se6

- Number 1 is which compound?
  TbDy5Mg6

Please write out number 5 again, unchanged.
A plane-wave DFT calculation with PBE-GGA was carried out for a relaxed Ta2BeW crystal.

Cell: 3.8035 3.8035 8.8257 Å, 90.00 90.00 90.00°
With the nearest neighbours (Å) after each atom.
Space group I-4m2 (No. 119)
Symmetry-distinct sites (fractional):
Ta 0.0000 0.0000 0.0000 x2  4 Be 2.69, 4 Ta 2.91, 4 W 2.91
Ta 0.0000 0.5000 0.2500 x2  4 W 2.69, 4 Ta 2.91, 4 Be 2.91
Be 0.0000 0.0000 0.5000 x2  8 Ta 2.69-2.91, 4 W 2.91
W 0.0000 0.5000 0.7500 x2  8 Ta 2.69-2.91, 4 Be 2.91

- M_tot (μB/cell) = 0.00
- total DFT energy (no corrections) (eV/cell) = -78.9
- Fermi-level density of states (states/eV/cell) = 7.9
- energy relative to the elements (eV/f.u.) = 0.93